No. 1
Compound: CrRe2AgAs
Source: the Alexandria database
Functional: PBE
Structure: relaxed

Lattice parameters (Å, degrees): 4.5635 4.5635 4.6361 90.00 90.00 90.00
With the nearest neighbours (Å) after each atom.
Fractional positions:
Cr 0.0000 0.0000 0.0000  4 Ag 3.23, 8 Re 3.25
Re 0.0000 0.5000 0.5000  2 As 2.28
Re 0.5000 0.0000 0.5000  2 As 2.28
Ag 0.5000 0.5000 0.0000  2 As 2.32
As 0.5000 0.5000 0.5000  4 Re 2.28, 2 Ag 2.32

Summary:
- ρ: 10.44 Mg/m³
- Space-group type: P4/mmm
- Size of the total moment: 1.43 μB per formula unit
- Energy of formation from the pure elements: 1861 meV/atom


No. 2
Compound: Cr2AgAsRh
Source: the Alexandria database
Functional: PBE
Structure: relaxed

Lattice parameters (Å, degrees): 4.6505 4.6505 5.0189 90.00 90.00 90.00
With the nearest neighbours (Å) after each atom.
Fractional positions:
Cr 0.0000 0.5000 0.0000  2 Rh 2.33
Cr 0.5000 0.0000 0.0000  2 Rh 2.33
Ag 0.0000 0.0000 0.5000  2 Rh 2.51
As 0.5000 0.5000 0.5000  4 Ag 3.29, 8 Cr 3.42
Rh 0.0000 0.0000 0.0000  4 Cr 2.33, 2 Ag 2.51

Summary:
- ρ: 5.96 Mg/m³
- Space-group type: P4/mmm
- Size of the total moment: 6.92 μB per formula unit
- Energy of formation from the pure elements: 1076 meV/atom


- The highest energy of formation from the pure elements belongs to which entry?
  CrRe2AgAs


- The highest ρ belongs to which entry?
  CrRe2AgAs


- Which formula does entry 2 have?
  Cr2AgAsRh


- energy of formation from the pure elements of number 2 (Cr2AgAsRh)?
  1076 meV/atom